Below is a relaxed RbTlHgSe3 crystal, with properties calculated at the PBE level.

Results
Size of the total moment (μB per formula unit): 0.00
ΔE_f (raw) (eV/atom): -0.45

Cell: 8.0724 4.1670 12.4277 Å, 90.00 107.03 90.00°
Last column: nearest neighbours and their distance in Å.
Fractional positions:
Rb 0.1966 0.2500 0.1827  7 Se 3.54-3.66
Rb 0.8034 0.7500 0.8173  7 Se 3.54-3.66
Tl 0.1839 0.7500 0.6014  5 Se 2.73-2.92
Tl 0.8161 0.2500 0.3986  5 Se 2.73-2.92
Hg 0.3802 0.2500 0.8802  3 Se 2.67
Hg 0.6198 0.7500 0.1198  3 Se 2.67
Se 0.0552 0.7500 0.3719  3 Tl 2.73-2.92
Se 0.2557 0.7500 0.9670  2 Hg 2.67
Se 0.4298 0.2500 0.6770  1 Hg 2.67, 2 Tl 2.84
Se 0.5702 0.7500 0.3230  1 Hg 2.67, 2 Tl 2.84
Se 0.7443 0.2500 0.0330  2 Hg 2.67
Se 0.9448 0.2500 0.6281  3 Tl 2.73-2.92